Ac4RuPb2 after structural relaxation, computed with GGA-PBE.

a = 5.4576 Å, b = 5.4576 Å, c = 17.9596 Å
α = 90.00°, β = 90.00°, γ = 90.00°
Space group I4/mmm (No. 139)
One atom of each set of equivalent atoms:
Ac 0.0000 0.0000 0.1741
Ac 0.0000 0.5000 0.0000
Ru 0.0000 0.0000 0.0000
Pb 0.0000 0.0000 0.3622

Results
Distance to the lowest polymorph of the same formula in meV/atom: 32.7
Calculated formation energy in eV per formula unit: -2.51


Sr4SbPO after structural relaxation, computed with GGA-PBE.

a = 4.8954 Å, b = 4.8954 Å, c = 17.1251 Å
α = 90.00°, β = 90.00°, γ = 90.00°
Space group I4mm (No. 107)
One atom of each set of equivalent atoms:
Sr 0.0000 0.0000 0.0000
Sr 0.0000 0.0000 0.3559
Sr 0.0000 0.5000 0.1959
Sb 0.0000 0.0000 0.5510
P 0.0000 0.0000 0.8215
O 0.0000 0.0000 0.2119

Results
Formation energy without anion corrections in eV per formula unit: -10.94


Number 1: density 8.8 g cm⁻³, total magnetization 0.000 μB per atom, energy -5.091 eV per atom. Number 2: density 4.2 g cm⁻³, total magnetization 0.000 μB per atom, energy -4.594 eV per atom.